*A*
Here is a relaxed Ga3Mo crystal from OQMD. Energies are from PBE.

Summary:
calculated density	7.87	g cm⁻³
V	129	Å³ per cell

abc: 5.049 5.049 5.049
angles: 90.00 90.00 90.00
Sites, in units of the cell vectors:
Ga (0.000, 0.250, 0.500)
Ga (0.000, 0.750, 0.500)
Ga (0.250, 0.500, 0.000)
Ga (0.500, 0.000, 0.250)
Ga (0.500, 0.000, 0.750)
Ga (0.750, 0.500, 0.000)
Mo (0.000, 0.000, 0.000)
Mo (0.500, 0.500, 0.500)

*B*
Here is a relaxed Ga3Mo crystal from OQMD. Energies are from PBE.

Summary:
calculated density	8.23	g cm⁻³
V	62	Å³ per cell

abc: 5.024 5.024 5.024
angles: 135.43 135.43 64.87
Sites, in units of the cell vectors:
Ga (0.000, 0.000, 0.000)
Ga (0.250, 0.750, 0.500)
Ga (0.750, 0.250, 0.500)
Mo (0.500, 0.500, 0.000)

*C*
Here is a relaxed Ga3Mo crystal from OQMD. Energies are from PBE.

Summary:
calculated density	6.43	g cm⁻³
V	315	Å³ per cell

abc: 6.530 6.530 7.394
angles: 90.00 90.00 90.00
Sites, in units of the cell vectors:
Ga (0.000, 0.500, 0.000)
Ga (0.000, 0.500, 0.500)
Ga (0.170, 0.170, 0.249)
Ga (0.170, 0.170, 0.751)
Ga (0.330, 0.670, 0.251)
Ga (0.330, 0.670, 0.749)
Ga (0.500, 0.000, 0.000)
Ga (0.500, 0.000, 0.500)
Ga (0.670, 0.330, 0.251)
Ga (0.670, 0.330, 0.749)
Ga (0.830, 0.830, 0.249)
Ga (0.830, 0.830, 0.751)
Mo (0.136, 0.864, 0.000)
Mo (0.364, 0.364, 0.500)
Mo (0.636, 0.636, 0.500)
Mo (0.864, 0.136, 0.000)

The data favor *C*; the next most stable structure lies 2.9 kJ/mol of atoms above it.

*A*
Here is a relaxed PaGaMo crystal from OQMD. Energies are from PBE.

Summary:
calculated density	9.54	g cm⁻³
V	69	Å³ per cell

abc: 4.605 4.605 4.605
angles: 60.00 60.00 60.00
Sites, in units of the cell vectors:
Pa (0.000, 0.000, 0.000)
Ga (0.750, 0.750, 0.750)
Mo (0.250, 0.250, 0.250)

*B*
Here is a relaxed PaGaMo crystal from OQMD. Energies are from PBE.

Summary:
calculated density	11.50	g cm⁻³
V	115	Å³ per cell

abc: 5.410 5.410 5.410
angles: 118.78 118.04 92.78
Sites, in units of the cell vectors:
Pa (0.356, 0.106, 0.250)
Pa (0.644, 0.894, 0.750)
Ga (0.000, 0.500, 0.500)
Ga (0.500, 0.500, 0.000)
Mo (0.000, 0.000, 0.500)
Mo (0.000, 0.500, 0.000)

*C*
Here is a relaxed PaGaMo crystal from OQMD. Energies are from PBE.

Summary:
calculated density	10.13	g cm⁻³
V	65	Å³ per cell

abc: 4.514 4.514 4.514
angles: 60.00 60.00 60.00
Sites, in units of the cell vectors:
Pa (0.000, 0.000, 0.000)
Ga (0.500, 0.500, 0.500)
Mo (0.750, 0.750, 0.750)

The data favor *B*; the next most stable structure lies 40.9 kJ/mol of atoms above it.